A plane-wave DFT calculation with PBE-GGA was carried out for an optimized crystal structure of Dy3GaCoS7.

Lattice parameters (Å, degrees): 9.5236 9.5236 6.1698 90.00 90.00 120.00
Space group P6_3 (No. 173)
Symmetry-distinct sites (fractional):
Dy: 0.1571 0.3739 0.0000 (multiplicity 6)
Ga: 0.3333 0.6667 0.5739 (multiplicity 2)
Co: 0.0000 0.0000 0.1562 (multiplicity 2)
S: 0.0847 0.5648 0.7306 (multiplicity 6)
S: 0.0970 0.2228 0.4021 (multiplicity 6)
S: 0.3333 0.6667 0.2079 (multiplicity 2)

Uncorrected formation energy   -1.46 eV/atom

---

A plane-wave DFT calculation with PBE-GGA was carried out for an optimized crystal structure of Dy3GaCoSe7.

Lattice parameters (Å, degrees): 9.9545 9.9545 6.4982 90.00 90.00 120.00
Space group P6_3 (No. 173)
Symmetry-distinct sites (fractional):
Dy: 0.1593 0.3731 0.0000 (multiplicity 6)
Ga: 0.3333 0.6667 0.4226 (multiplicity 2)
Co: 0.0000 0.0000 0.3441 (multiplicity 2)
Se: 0.0808 0.5616 0.2669 (multiplicity 6)
Se: 0.1000 0.2265 0.5977 (multiplicity 6)
Se: 0.3333 0.6667 0.7930 (multiplicity 2)

Uncorrected formation energy   -1.28 eV/atom

---

A plane-wave DFT calculation with PBE-GGA was carried out for an optimized crystal structure of Dy2GaCo5Si2.

Lattice parameters (Å, degrees): 9.3789 9.3789 3.2757 90.00 90.00 90.00
Space group P4/mbm (No. 127)
Symmetry-distinct sites (fractional):
Dy: 0.1776 0.3224 0.0000 (multiplicity 4)
Ga: 0.0000 0.0000 0.0000 (multiplicity 2)
Co: 0.0000 0.5000 0.5000 (multiplicity 2)
Co: 0.0651 0.7842 0.5000 (multiplicity 8)
Si: 0.1191 0.6191 0.0000 (multiplicity 4)

Uncorrected formation energy   -0.44 eV/atom

---

A plane-wave DFT calculation with PBE-GGA was carried out for an optimized crystal structure of TbDyGaCo.

Lattice parameters (Å, degrees): 6.9751 6.9751 6.9751 90.00 90.00 90.00
Space group F-43m (No. 216)
Symmetry-distinct sites (fractional):
Tb: 0.0000 0.0000 0.0000 (multiplicity 4)
Dy: 0.0000 0.0000 0.5000 (multiplicity 4)
Ga: 0.2500 0.2500 0.2500 (multiplicity 4)
Co: 0.2500 0.2500 0.7500 (multiplicity 4)

Energy of formation   -0.316 eV/atom
Polymorph energy (0 for the lowest one)   1.51 kcal/mol of atoms

---

A plane-wave DFT calculation with PBE-GGA was carried out for an optimized crystal structure of TbDyGaCo.

Lattice parameters (Å, degrees): 4.2573 3.8736 10.6053 90.00 90.00 90.00
Space group Amm2 (No. 38)
Symmetry-distinct sites (fractional):
Tb: 0.0000 0.0000 0.0000 (multiplicity 2)
Dy: 0.5000 0.0000 0.7177 (multiplicity 2)
Ga: 0.5000 0.0000 0.4244 (multiplicity 2)
Co: 0.0000 0.0000 0.2970 (multiplicity 2)

Energy of formation   -0.381 eV/atom
Polymorph energy (0 for the lowest one)   0.00 kcal/mol of atoms

---

A plane-wave DFT calculation with PBE-GGA was carried out for an optimized crystal structure of DyThGaCo.

Lattice parameters (Å, degrees): 7.0937 7.0937 7.0937 90.00 90.00 90.00
Space group F-43m (No. 216)
Symmetry-distinct sites (fractional):
Dy: 0.0000 0.0000 0.0000 (multiplicity 4)
Th: 0.0000 0.0000 0.5000 (multiplicity 4)
Ga: 0.2500 0.2500 0.2500 (multiplicity 4)
Co: 0.2500 0.2500 0.7500 (multiplicity 4)

Energy of formation   -0.235 eV/atom

---

A plane-wave DFT calculation with PBE-GGA was carried out for an optimized crystal structure of DyTmGaCo.

Lattice parameters (Å, degrees): 6.9021 6.9021 6.9021 90.00 90.00 90.00
Space group F-43m (No. 216)
Symmetry-distinct sites (fractional):
Dy: 0.0000 0.0000 0.0000 (multiplicity 4)
Tm: 0.0000 0.0000 0.5000 (multiplicity 4)
Ga: 0.2500 0.2500 0.2500 (multiplicity 4)
Co: 0.2500 0.2500 0.7500 (multiplicity 4)

Energy of formation   -0.342 eV/atom
Polymorph energy (0 for the lowest one)   1.32 kcal/mol of atoms

---

A plane-wave DFT calculation with PBE-GGA was carried out for an optimized crystal structure of DyTmGaCo.

Lattice parameters (Å, degrees): 4.2241 3.8508 10.4464 90.00 90.00 90.00
Space group Amm2 (No. 38)
Symmetry-distinct sites (fractional):
Dy: 0.0000 0.0000 0.0000 (multiplicity 2)
Tm: 0.5000 0.0000 0.7155 (multiplicity 2)
Ga: 0.5000 0.0000 0.4218 (multiplicity 2)
Co: 0.0000 0.0000 0.2910 (multiplicity 2)

Energy of formation   -0.399 eV/atom
Polymorph energy (0 for the lowest one)   0.00 kcal/mol of atoms

---

A plane-wave DFT calculation with PBE-GGA was carried out for an optimized crystal structure of Dy2ZnGa2Co5.

Lattice parameters (Å, degrees): 9.4127 9.4127 3.3909 90.00 90.00 90.00
Space group P4/mbm (No. 127)
Symmetry-distinct sites (fractional):
Dy: 0.1740 0.3260 0.0000 (multiplicity 4)
Zn: 0.0000 0.0000 0.0000 (multiplicity 2)
Ga: 0.1236 0.6236 0.0000 (multiplicity 4)
Co: 0.0000 0.5000 0.5000 (multiplicity 2)
Co: 0.0605 0.8006 0.5000 (multiplicity 8)

Energy of formation   -0.137 eV/atom

---

A plane-wave DFT calculation with PBE-GGA was carried out for an optimized crystal structure of DyZnGa3Co.

Lattice parameters (Å, degrees): 6.4818 11.6396 5.9058 90.00 90.00 90.00
Space group Cmcm (No. 63)
Symmetry-distinct sites (fractional):
Dy: 0.0000 0.2067 0.2500 (multiplicity 4)
Zn: 0.0000 0.4481 0.2500 (multiplicity 4)
Ga: 0.0000 0.3264 0.7500 (multiplicity 4)
Ga: 0.1979 0.0000 0.0000 (multiplicity 8)
Co: 0.0000 0.1261 0.7500 (multiplicity 4)

Energy of formation   -0.086 eV/atom

---

A plane-wave DFT calculation with PBE-GGA was carried out for an optimized crystal structure of DyZn2GaCo2.

Lattice parameters (Å, degrees): 4.3743 4.3743 5.4854 90.00 90.00 90.00
Space group P4/mmm (No. 123)
Symmetry-distinct sites (fractional):
Dy: 0.0000 0.0000 0.0000 (multiplicity 1)
Zn: 0.5000 0.5000 0.2466 (multiplicity 2)
Ga: 0.0000 0.0000 0.5000 (multiplicity 1)
Co: 0.0000 0.5000 0.5000 (multiplicity 2)

Energy of formation   0.032 eV/atom

---

A plane-wave DFT calculation with PBE-GGA was carried out for an optimized crystal structure of DyZrGaCo.

Lattice parameters (Å, degrees): 6.7698 6.7698 6.7698 90.00 90.00 90.00
Space group F-43m (No. 216)
Symmetry-distinct sites (fractional):
Dy: 0.0000 0.0000 0.0000 (multiplicity 4)
Zr: 0.0000 0.0000 0.5000 (multiplicity 4)
Ga: 0.2500 0.2500 0.7500 (multiplicity 4)
Co: 0.2500 0.2500 0.2500 (multiplicity 4)

Energy of formation   -0.270 eV/atom

---

no.,magnetization (μB per cell)
1,2.0
2,1.9
3,0.0
4,4.2
5,0.0
6,2.8
7,3.9
8,0.0
9,4.1
10,0.0
11,1.5
12,4.0